Compound: Rb2FeBr6N
Source: the Alexandria database
Functional: PBE
Structure: relaxed

D(E_F): 0.15 states/eV/atom
size of the total moment: 0.30 μB/atom
raw formation energy: -0.403 eV/atom

Lattice parameters (Å, degrees): 7.2137 7.2137 11.3728 90.00 90.00 90.00
Space group I4/mmm (No. 139)
Unique sites:
Rb 0.0000 0.5000 0.2500 (multiplicity 4)
Fe 0.0000 0.0000 0.0000 (multiplicity 2)
Br 0.0000 0.0000 0.2150 (multiplicity 4)
Br 0.2385 0.2385 0.5000 (multiplicity 8)
N 0.0000 0.0000 0.5000 (multiplicity 2)

Compound: FeSBr2N
Source: the Alexandria database
Functional: PBE
Structure: relaxed

D(E_F): 0.89 states/eV/atom
size of the total moment: 0.68 μB/atom
raw formation energy: 0.987 eV/atom

Lattice parameters (Å, degrees): 5.5261 5.5261 3.3252 90.00 90.00 90.00
Space group P4/mmm (No. 123)
Unique sites:
Fe 0.0000 0.0000 0.0000 (multiplicity 1)
S 0.5000 0.5000 0.5000 (multiplicity 1)
Br 0.0000 0.5000 0.5000 (multiplicity 2)
N 0.5000 0.5000 0.0000 (multiplicity 1)

Compound: FeS4Br4N5
Source: the Alexandria database
Functional: PBE
Structure: relaxed

size of the total moment: 0.50 μB/atom
raw formation energy: 0.417 eV/atom

Lattice parameters (Å, degrees): 7.4907 16.5416 13.8531 90.00 92.49 90.00
Space group Cc (No. 9)
Unique sites:
Fe 0.0000 0.2308 0.0000 (multiplicity 4)
S 0.1701 0.0945 0.2706 (multiplicity 4)
S 0.3137 0.0917 0.4555 (multiplicity 4)
S 0.4621 0.9999 0.3181 (multiplicity 4)
S 0.4924 0.1644 0.3049 (multiplicity 4)
Br 0.2854 0.4849 0.0718 (multiplicity 4)
Br 0.3068 0.2173 0.0288 (multiplicity 4)
Br 0.3442 0.2567 0.6406 (multiplicity 4)
Br 0.3975 0.3738 0.3982 (multiplicity 4)
N 0.0853 0.4223 0.7919 (multiplicity 4)
N 0.1367 0.1003 0.3859 (multiplicity 4)
N 0.1871 0.4144 0.1512 (multiplicity 4)
N 0.2768 0.0106 0.2554 (multiplicity 4)
N 0.4452 0.1670 0.4215 (multiplicity 4)

Compound: FeS2BrN
Source: the Alexandria database
Functional: PBE
Structure: relaxed

E above lowest polymorph: 1109.5 meV per atom
D(E_F): 1.11 states/eV/atom
size of the total moment: 0.82 μB/atom
raw formation energy: 1.763 eV/atom

Lattice parameters (Å, degrees): 4.9697 4.9697 3.6590 90.00 90.00 90.00
Space group P4/mmm (No. 123)
Unique sites:
Fe 0.0000 0.0000 0.0000 (multiplicity 1)
S 0.0000 0.5000 0.5000 (multiplicity 2)
Br 0.5000 0.5000 0.5000 (multiplicity 1)
N 0.5000 0.5000 0.0000 (multiplicity 1)

Compound: FeS2BrN
Source: the Alexandria database
Functional: PBE
Structure: relaxed

E above lowest polymorph: 0.0 meV per atom
D(E_F): 0.92 states/eV/atom
size of the total moment: 0.04 μB/atom
raw formation energy: 0.654 eV/atom

Lattice parameters (Å, degrees): 4.7205 4.7205 3.4601 90.00 90.00 90.00
Space group P4/mmm (No. 123)
Unique sites:
Fe 0.0000 0.0000 0.0000 (multiplicity 1)
S 0.0000 0.5000 0.0000 (multiplicity 2)
Br 0.5000 0.5000 0.5000 (multiplicity 1)
N 0.0000 0.0000 0.5000 (multiplicity 1)

Compound: FeSeBr2N
Source: the Alexandria database
Functional: PBE
Structure: relaxed

E above lowest polymorph: 0.0 meV per atom
D(E_F): 0.90 states/eV/atom
size of the total moment: 0.81 μB/atom
raw formation energy: 1.219 eV/atom

Lattice parameters (Å, degrees): 4.4885 4.4885 4.7769 90.00 90.00 90.00
Space group P4/mmm (No. 123)
Unique sites:
Fe 0.0000 0.0000 0.0000 (multiplicity 1)
Se 0.5000 0.5000 0.0000 (multiplicity 1)
Br 0.0000 0.5000 0.5000 (multiplicity 2)
N 0.5000 0.5000 0.5000 (multiplicity 1)

Compound: FeSeBr2N
Source: the Alexandria database
Functional: PBE
Structure: relaxed

E above lowest polymorph: 283.2 meV per atom
D(E_F): 1.82 states/eV/atom
size of the total moment: 0.00 μB/atom
raw formation energy: 1.502 eV/atom

Lattice parameters (Å, degrees): 4.8833 4.8833 4.4357 90.00 90.00 90.00
Space group P4/mmm (No. 123)
Unique sites:
Fe 0.0000 0.0000 0.0000 (multiplicity 1)
Se 0.0000 0.0000 0.5000 (multiplicity 1)
Br 0.0000 0.5000 0.0000 (multiplicity 2)
N 0.5000 0.5000 0.5000 (multiplicity 1)

Compound: FeTeBr2N
Source: the Alexandria database
Functional: PBE
Structure: relaxed

D(E_F): 0.88 states/eV/atom
size of the total moment: 0.29 μB/atom
raw formation energy: 0.461 eV/atom

Lattice parameters (Å, degrees): 5.4174 5.4174 3.4686 90.00 90.00 90.00
Space group P4/mmm (No. 123)
Unique sites:
Fe 0.0000 0.0000 0.0000 (multiplicity 1)
Te 0.5000 0.5000 0.5000 (multiplicity 1)
Br 0.0000 0.5000 0.0000 (multiplicity 2)
N 0.0000 0.0000 0.5000 (multiplicity 1)

- Look up the raw formation energy of the first one.
  -0.403 eV/atom